[1]
Cs2TaSeCl6: relaxed, PBE.

a b c (Å): 8.017 8.017 11.797
angles (deg): 90.00 90.00 90.00
Space group I4/mmm (No. 139)
Inequivalent atoms, fractional coordinates:
Cs 0.000 0.500 0.250 [4 per cell]
Ta 0.000 0.000 0.000 [2 per cell]
Se 0.000 0.000 0.500 [2 per cell]
Cl 0.000 0.000 0.203 [4 per cell]
Cl 0.211 0.211 0.000 [8 per cell]

Formation energy (no corrections) (kcal/mol of atoms): -28.8



[2]
Pu2BrO7: relaxed, PBE.

a b c (Å): 13.435 6.457 4.148
angles (deg): 90.00 90.38 90.00
Space group C2/m (No. 12)
Inequivalent atoms, fractional coordinates:
Pu 0.155 0.000 0.499 [4 per cell]
Br 0.000 0.500 0.000 [2 per cell]
O 0.000 0.000 0.500 [2 per cell]
O 0.155 0.279 0.499 [8 per cell]
O 0.157 0.000 0.999 [4 per cell]

Formation energy (no corrections) (kcal/mol of atoms): -39.8



[3]
TlZnCu2: relaxed, PBE.

a b c (Å): 3.1363 3.1363 24.3056
angles (deg): 90.00 90.00 120.00
Space group R-3m (No. 166, hexagonal axes)
Inequivalent atoms, fractional coordinates:
Tl 0.0000 0.0000 0.0000 [3 per cell]
Zn 0.0000 0.0000 0.5000 [3 per cell]
Cu 0.0000 0.0000 0.2413 [6 per cell]

DFT formation energy (eV per atom): 0.308



[4]
AgPdSe3: relaxed, PBE.

a b c (Å): 4.973 4.973 4.973
angles (deg): 90.00 90.00 90.00
Space group Pm-3m (No. 221)
Inequivalent atoms, fractional coordinates:
Ag 0.000 0.000 0.000 [1 per cell]
Pd 0.500 0.500 0.500 [1 per cell]
Se 0.000 0.500 0.500 [3 per cell]

Formation energy (no corrections) (kcal/mol of atoms): 10.3



[5]
CaLu2S4: relaxed, PBE.

a b c (Å): 12.796 3.837 12.987
angles (deg): 90.00 90.00 90.00
Space group Pnma (No. 62)
Inequivalent atoms, fractional coordinates:
Ca 0.131 0.250 0.083 [4 per cell]
Lu 0.106 0.750 0.417 [4 per cell]
Lu 0.148 0.750 0.798 [4 per cell]
S 0.032 0.250 0.881 [4 per cell]
S 0.034 0.750 0.618 [4 per cell]
S 0.217 0.750 0.239 [4 per cell]
S 0.241 0.250 0.473 [4 per cell]

Formation energy (no corrections) (kcal/mol of atoms): -48.5



[6]
La3TlN: relaxed, PBE.

a b c (Å): 4.727 4.727 8.779
angles (deg): 90.00 90.00 90.00
Space group P4mm (No. 99)
Inequivalent atoms, fractional coordinates:
La 0.000 0.000 0.000 [1 per cell]
La 0.000 0.500 0.656 [2 per cell]
Tl 0.000 0.000 0.362 [1 per cell]
N 0.500 0.500 0.722 [1 per cell]

Formation energy (no corrections) (kcal/mol of atoms): 1.2



[7]
Li3HoAu2: relaxed, PBE.

a b c (Å): 14.421 4.034 9.151
angles (deg): 90.00 124.09 90.00
Space group C2/m (No. 12)
Inequivalent atoms, fractional coordinates:
Li 0.069 0.000 0.415 [4 per cell]
Li 0.073 0.500 0.687 [4 per cell]
Li 0.233 0.500 0.583 [4 per cell]
Ho 0.123 0.000 0.999 [4 per cell]
Au 0.075 0.500 0.210 [4 per cell]
Au 0.205 0.000 0.763 [4 per cell]

DFT formation energy (eV per atom): -0.530



[8]
Pr2Dy3PuSe6: relaxed, PBE.

a b c (Å): 18.156 4.111 8.382
angles (deg): 90.00 104.20 90.00
Space group C2/m (No. 12)
Inequivalent atoms, fractional coordinates:
Pr 0.166 0.000 0.333 [4 per cell]
Dy 0.000 0.500 0.500 [2 per cell]
Dy 0.168 0.000 0.836 [4 per cell]
Pu 0.000 0.500 0.000 [2 per cell]
Se 0.004 0.000 0.748 [4 per cell]
Se 0.163 0.500 0.593 [4 per cell]
Se 0.168 0.500 0.073 [4 per cell]

Formation energy (no corrections) (kcal/mol of atoms): -40.7



Number 1: uncorrected energy -4.06 eV/atom. Number 2: uncorrected energy -8.23 eV/atom. Number 3: uncorrected energy -2.65 eV/atom. Number 4: uncorrected energy -3.25 eV/atom. Number 5: uncorrected energy -6.04 eV/atom. Number 6: uncorrected energy -5.04 eV/atom. Number 7: uncorrected energy -3.34 eV/atom. Number 8: uncorrected energy -6.65 eV/atom.